A plane-wave DFT calculation with PBE was carried out for a relaxed CdHgF crystal.

```
CdHgF
1.0
2.907 -2.939 0.000
2.907 2.939 0.000
-2.129 0.000 7.527
Cd Hg F
2 2 2
direct
0.192 0.192 0.333
0.808 0.808 0.667
0.240 0.240 0.953
0.760 0.760 0.047
0.258 0.742 0.500
0.742 0.258 0.500
```

Output
- ΔE to the lowest computed polymorph: 0.016 eV per atom
- Crystal system: monoclinic
- Uncorrected energy: -2.059 eV per atom